(1)
The following is a PBE calculation of a geometry-optimized Ca2Nb2O structure, from Alexandria via LeMat-Bulk.

a = 5.9618 Å, b = 5.9618 Å, c = 5.8701 Å
α = 90.00°, β = 90.00°, γ = 90.00°
Closest atoms and distances in Å follow each position.
Sites, in units of the cell vectors:
Ca  0.3311  0.1689  0.5000  5 Ca 2.85-3.13
Ca  0.8311  0.3311  0.5000  5 Ca 2.85-3.13
Nb  0.8291  0.6709  0.0000  2 O 2.21
Ca  0.1689  0.6689  0.5000  5 Ca 2.85-3.13
Nb  0.1709  0.3291  0.0000  2 O 2.21
Nb  0.6709  0.1709  0.0000  2 O 2.21
O  0.0000  0.0000  0.0000  4 Nb 2.21
Ca  0.6689  0.8311  0.5000  5 Ca 2.85-3.13
O  0.5000  0.5000  0.0000  4 Nb 2.21
Nb  0.3291  0.8291  0.0000  2 O 2.21

Results
**Raw formation energy**: -0.12 eV per atom
**V**: 208.6 Å³ per cell
**D(E_F)**: 10.8 states/eV/cell
**ρ**: 4.5 g cm⁻³
**Total energy**: -5.94 eV per atom

(2)
The following is a PBE calculation of a geometry-optimized CaNb2O4 structure, from Alexandria via LeMat-Bulk.

a = 5.1159 Å, b = 5.9111 Å, c = 12.0024 Å
α = 90.00°, β = 90.00°, γ = 90.00°
Closest atoms and distances in Å follow each position.
Sites, in units of the cell vectors:
O  0.9939  0.2500  0.8605  3 Nb 2.14-2.15, 1 Ca 2.29
O  0.4922  0.5043  0.8627  3 Nb 2.17-2.19, 1 Ca 2.39
Nb  0.6592  0.7500  0.7464  6 O 2.13-2.19
O  0.0146  0.2500  0.1429  3 Nb 2.13-2.14, 1 Ca 2.32
Nb  0.6592  0.2500  0.7536  6 O 2.13-2.19
O  0.9939  0.7500  0.6395  3 Nb 2.14-2.15, 1 Ca 2.29
O  0.0061  0.7500  0.1395  3 Nb 2.14-2.15, 1 Ca 2.29
Nb  0.8443  0.0000  0.2500  6 O 2.14-2.19
O  0.4922  0.4957  0.6373  3 Nb 2.17-2.19, 1 Ca 2.39
Ca  0.6918  0.2500  0.4959  6 O 2.29-2.46
O  0.4922  0.9957  0.8627  3 Nb 2.17-2.19, 1 Ca 2.39
Ca  0.6918  0.7500  0.0041  6 O 2.29-2.46
O  0.0061  0.2500  0.3605  3 Nb 2.14-2.15, 1 Ca 2.29
O  0.4922  0.0043  0.6373  3 Nb 2.17-2.19, 1 Ca 2.39
O  0.9854  0.2500  0.6429  3 Nb 2.13-2.14, 1 Ca 2.32
Nb  0.1557  0.5000  0.7500  6 O 2.14-2.19
Nb  0.1557  0.0000  0.7500  6 O 2.14-2.19
Nb  0.8443  0.5000  0.2500  6 O 2.14-2.19
Nb  0.3408  0.7500  0.2464  6 O 2.13-2.19
Ca  0.3082  0.7500  0.5041  6 O 2.29-2.46
O  0.5078  0.4957  0.1373  3 Nb 2.17-2.19, 1 Ca 2.39
O  0.5078  0.0043  0.1373  3 Nb 2.17-2.19, 1 Ca 2.39
O  0.9854  0.7500  0.8571  3 Nb 2.13-2.14, 1 Ca 2.32
Nb  0.3408  0.2500  0.2536  6 O 2.13-2.19
Ca  0.3082  0.2500  0.9959  6 O 2.29-2.46
O  0.5078  0.9957  0.3627  3 Nb 2.17-2.19, 1 Ca 2.39
O  0.0146  0.7500  0.3571  3 Nb 2.13-2.14, 1 Ca 2.32
O  0.5078  0.5043  0.3627  3 Nb 2.17-2.19, 1 Ca 2.39

Results
**Raw formation energy**: -2.63 eV per atom
**V**: 363.0 Å³ per cell
**ρ**: 5.3 g cm⁻³
**Total energy**: -8.63 eV per atom

(3)
The following is a PBE calculation of a geometry-optimized CaNb3O6 structure, from Alexandria via LeMat-Bulk.

a = 2.9960 Å, b = 9.0299 Å, c = 9.0780 Å
α = 110.03°, β = 90.00°, γ = 90.00°
Closest atoms and distances in Å follow each position.
Sites, in units of the cell vectors:
O  0.7500  0.7524  0.7943  3 Nb 2.04-2.11
O  0.7500  0.1121  0.9092  3 Nb 2.17-2.18, 2 Ca 2.29
Nb  0.2500  0.9277  0.8672  6 O 2.11-2.18
Ca  0.7500  0.6884  0.0658  7 O 2.29-2.52
Nb  0.2500  0.1373  0.5419  6 O 2.14-2.32
O  0.2500  0.5326  0.8562  2 Nb 2.16, 1 Ca 2.33
O  0.2500  0.8879  0.0908  3 Nb 2.17-2.18, 2 Ca 2.29
Nb  0.7500  0.5145  0.6797  7 O 2.04-2.26
Ca  0.2500  0.3116  0.9342  7 O 2.29-2.52
O  0.7500  0.0598  0.3634  4 Nb 2.13-2.23
Nb  0.7500  0.8627  0.4581  6 O 2.14-2.32
O  0.2500  0.2476  0.2057  3 Nb 2.04-2.11
O  0.7500  0.4674  0.1438  2 Nb 2.16, 1 Ca 2.33
O  0.2500  0.7267  0.2986  3 Nb 2.15-2.25
O  0.2500  0.3832  0.5151  4 Nb 2.16-2.32
O  0.2500  0.9402  0.6366  4 Nb 2.13-2.23
O  0.7500  0.6168  0.4849  4 Nb 2.16-2.32
Nb  0.7500  0.0723  0.1328  6 O 2.11-2.18
Nb  0.2500  0.4855  0.3203  7 O 2.04-2.26
O  0.7500  0.2733  0.7014  3 Nb 2.15-2.25

Results
**Raw formation energy**: -2.43 eV per atom
**V**: 230.7 Å³ per cell
**D(E_F)**: 6.3 states/eV/cell
**ρ**: 6.0 g cm⁻³
**Total energy**: -8.63 eV per atom

(4)
The following is a PBE calculation of a geometry-optimized CaNbOsO6 structure, from Alexandria via LeMat-Bulk.

a = 4.8984 Å, b = 4.8984 Å, c = 9.5820 Å
α = 90.00°, β = 90.00°, γ = 90.00°
Closest atoms and distances in Å follow each position.
Sites, in units of the cell vectors:
O  0.2158  0.7842  0.8102  1 Os 1.98, 1 Nb 2.00
Ca  0.5000  0.5000  0.5031  6 O 2.26-2.38
O  0.7090  0.7090  0.6918  1 Os 1.97, 1 Nb 2.03
O  0.2090  0.7910  0.1918  1 Os 1.97, 1 Nb 2.03
O  0.2910  0.2910  0.6918  1 Os 1.97, 1 Nb 2.03
O  0.1732  0.8268  0.4953  1 Os 1.98, 1 Nb 2.07
O  0.3268  0.3268  0.9953  1 Os 1.98, 1 Nb 2.07
O  0.2842  0.2842  0.3102  1 Os 1.98, 1 Nb 2.00
O  0.7910  0.2090  0.1918  1 Os 1.97, 1 Nb 2.03
O  0.7158  0.7158  0.3102  1 Os 1.98, 1 Nb 2.00
Os  0.0000  0.0000  0.3314  6 O 1.97-1.98
Nb  0.5000  0.5000  0.1708  6 O 2.00-2.07
Os  0.5000  0.5000  0.8314  6 O 1.97-1.98
O  0.6732  0.6732  0.9953  1 Os 1.98, 1 Nb 2.07
O  0.8268  0.1732  0.4953  1 Os 1.98, 1 Nb 2.07
Ca  0.0000  0.0000  0.0031  6 O 2.26-2.38
O  0.7842  0.2158  0.8102  1 Os 1.98, 1 Nb 2.00
Nb  0.0000  0.0000  0.6708  6 O 2.00-2.07

Results
**Raw formation energy**: -2.02 eV per atom
**V**: 229.9 Å³ per cell
**D(E_F)**: 6.8 states/eV/cell
**ρ**: 6.1 g cm⁻³
**Total energy**: -7.92 eV per atom